GdLu2In (PBE-GGA, relaxed); DFT formation energy = -0.9 eV per formula unit; polymorph energy (0 for the lowest one) = 0.038 eV/atom; space-group type = P4/mmm; Fermi-level density of states = 3.70 states/eV per cell; magnetic moment = 7.39 μB/cell
1.0
3.542 0.000 0.000
0.000 3.542 0.000
0.000 0.000 9.014
Lu Gd In
2 1 1
Direct
0.000 0.000 0.226
0.000 0.000 0.774
0.500 0.500 0.500
0.500 0.500 0.000